1.
VASP calculation (PBE) on crystalline Sr2HgAu7 at its relaxed geometry.

Results
ΔE_f = -0.44 eV per atom
VASP energy = -3.098 eV per atom
Space group = P-4m2, No. 115
Magnetic moment = 0.00 μB/atom

abc: 4.3165 4.3165 12.8333
angles: 90.00 90.00 90.00
Fractional coordinates of all 10 atoms:
Sr 0.5000 0.0000 0.7375
Sr 0.0000 0.5000 0.2625
Hg 0.5000 0.5000 0.0000
Au 0.0000 0.5000 0.8509
Au 0.5000 0.0000 0.3578
Au 0.5000 0.0000 0.1491
Au 0.0000 0.5000 0.6422
Au 0.0000 0.0000 0.5000
Au 0.0000 0.0000 0.0000
Au 0.5000 0.5000 0.5000

***

2.
VASP calculation (PBE) on crystalline CaErPb2 at its relaxed geometry.

Results
ΔE_f = -0.36 eV per atom
VASP energy = -3.853 eV per atom
Space group = R3m, No. 160
Magnetic moment = 0.11 μB/atom

abc: 3.7206 3.7206 10.2971
angles: 79.59 79.59 60.00
Last column: magnetic moment on the atom in μB.
Fractional coordinates of all 4 atoms:
Ca 0.6672 0.6672 0.9984  0.01
Er 0.4996 0.4996 0.5011  0.27
Pb 0.0842 0.0842 0.7473  0.00
Pb 0.2489 0.2489 0.2533  0.00

***

3.
VASP calculation (PBE) on crystalline CuHg2Bi at its relaxed geometry.

Results
ΔE_f = 0.24 eV per atom
VASP energy = -1.904 eV per atom
Space group = I-42d, No. 122
Magnetic moment = 0.00 μB/atom

abc: 4.2332 4.2332 11.2722
angles: 79.18 79.18 90.00
Fractional coordinates of all 8 atoms:
Bi 0.0000 0.0000 0.0000
Bi 0.7500 0.2500 0.5000
Cu 0.5000 0.5000 0.0000
Cu 0.2500 0.7500 0.5000
Hg 0.6092 0.1250 0.2500
Hg 0.1408 0.6250 0.2500
Hg 0.3750 0.3908 0.7500
Hg 0.8750 0.8592 0.7500

***

4.
VASP calculation (PBE) on crystalline Sr3HfCr at its relaxed geometry.

Results
ΔE to the lowest computed polymorph = 3.7 kJ/mol of atoms
ΔE_f = 1.42 eV per atom
VASP energy = -3.502 eV per atom
Space group = Pm-3m, No. 221
Magnetic moment = 0.35 μB/atom

abc: 5.6714 5.6714 5.6714
angles: 90.00 90.00 90.00
Last column: magnetic moment on the atom in μB.
Fractional coordinates of all 5 atoms:
Sr 0.0000 0.5000 0.0000  0.03
Sr 0.0000 0.0000 0.5000  0.06
Sr 0.5000 0.0000 0.0000  0.04
Hf 0.5000 0.5000 0.5000  0.98
Cr 0.0000 0.0000 0.0000  -0.36

***

5.
VASP calculation (PBE) on crystalline Ta2VGe4 at its relaxed geometry.

Results
ΔE to the lowest computed polymorph = 49.8 kJ/mol of atoms
ΔE_f = 0.51 eV per atom
VASP energy = -6.814 eV per atom
Space group = I4/mmm, No. 139
Magnetic moment = 0.00 μB/atom

abc: 4.7007 4.7007 7.2314
angles: 71.03 71.03 90.00
Fractional coordinates of all 7 atoms:
Ge 0.1927 0.1927 0.6147
Ge 0.8073 0.8073 0.3853
Ge 0.0000 0.5000 0.0000
Ge 0.5000 0.0000 0.0000
V 0.0000 0.0000 0.0000
Ta 0.3969 0.3969 0.2061
Ta 0.6031 0.6031 0.7939

***

6.
VASP calculation (PBE) on crystalline TbHgTe3 at its relaxed geometry.

Results
VASP energy = -3.481 eV per atom
Formation energy from raw total energies = -59 kJ/mol of atoms
Space group = P2_1/m, No. 11
Magnetic moment = 0.00 μB/atom

abc: 4.1526 8.4011 10.0358
angles: 90.00 90.00 104.36
Fractional coordinates of all 10 atoms:
Tb 0.2283 0.9532 0.2500
Tb 0.7717 0.0468 0.7500
Hg 0.9599 0.4228 0.2500
Hg 0.0401 0.5772 0.7500
Te 0.8272 0.1479 0.0679
Te 0.1728 0.8521 0.9321
Te 0.8272 0.1479 0.4321
Te 0.1728 0.8521 0.5679
Te 0.5834 0.6665 0.2500
Te 0.4166 0.3335 0.7500

***

7.
VASP calculation (PBE) on crystalline Zr2Ga2Ir at its relaxed geometry.

Results
ΔE to the lowest computed polymorph = 0.0 kJ/mol of atoms
ΔE_f = -0.73 eV per atom
VASP energy = -7.137 eV per atom
Space group = P4/mnc, No. 128
Magnetic moment = 0.00 μB/atom

abc: 6.6752 6.6752 8.0290
angles: 90.00 90.00 90.00
Fractional coordinates of all 20 atoms:
Zr 0.6697 0.8252 0.5000
Zr 0.3303 0.1748 0.5000
Zr 0.8303 0.3252 0.0000
Zr 0.1697 0.6748 0.0000
Zr 0.8252 0.3303 0.5000
Zr 0.1748 0.6697 0.5000
Zr 0.3252 0.1697 0.0000
Zr 0.6748 0.8303 0.0000
Ga 0.3661 0.8661 0.2500
Ga 0.6339 0.1339 0.2500
Ga 0.1339 0.3661 0.7500
Ga 0.8661 0.6339 0.7500
Ga 0.8661 0.6339 0.2500
Ga 0.1339 0.3661 0.2500
Ga 0.3661 0.8661 0.7500
Ga 0.6339 0.1339 0.7500
Ir 0.5000 0.5000 0.2028
Ir 0.0000 0.0000 0.7028
Ir 0.5000 0.5000 0.7972
Ir 0.0000 0.0000 0.2972

***

8.
VASP calculation (PBE) on crystalline VCo3Pt3 at its relaxed geometry.

Results
ΔE_f = -0.02 eV per atom
VASP energy = -6.961 eV per atom
Space group = P2_13, No. 198
Magnetic moment = 0.59 μB/atom

abc: 7.3356 7.3356 7.3356
angles: 90.00 90.00 90.00
Last column: magnetic moment on the atom in μB.
Fractional coordinates of all 28 atoms:
V 0.0306 0.5306 0.9694  -1.58
V 0.9694 0.0306 0.5306  -1.58
V 0.4694 0.4694 0.4694  -1.58
V 0.5306 0.9694 0.0306  -1.58
Co 0.8328 0.3328 0.1672  1.78
Co 0.8492 0.8492 0.8492  1.74
Co 0.8495 0.6505 0.3495  1.78
Co 0.1672 0.8328 0.3328  1.78
Co 0.1505 0.1505 0.1505  1.78
Co 0.3495 0.8495 0.6505  1.78
Co 0.1508 0.3492 0.6508  1.74
Co 0.3328 0.1672 0.8328  1.78
Co 0.6505 0.3495 0.8495  1.78
Co 0.6672 0.6672 0.6672  1.78
Co 0.6508 0.1508 0.3492  1.74
Co 0.3492 0.6508 0.1508  1.74
Pt 0.6779 0.6317 0.0474  0.23
Pt 0.8683 0.9526 0.1779  0.23
Pt 0.0474 0.6779 0.6317  0.23
Pt 0.1317 0.4526 0.3221  0.23
Pt 0.3221 0.1317 0.4526  0.23
Pt 0.1779 0.8683 0.9526  0.23
Pt 0.9526 0.1779 0.8683  0.23
Pt 0.3683 0.5474 0.8221  0.23
Pt 0.4526 0.3221 0.1317  0.23
Pt 0.6317 0.0474 0.6779  0.23
Pt 0.8221 0.3683 0.5474  0.23
Pt 0.5474 0.8221 0.3683  0.23

***

9.
VASP calculation (PBE) on crystalline CaGd2Tc at its relaxed geometry.

Results
ΔE to the lowest computed polymorph = 24.0 kJ/mol of atoms
ΔE_f = 0.26 eV per atom
VASP energy = -9.872 eV per atom
Space group = R-3m, No. 166
Magnetic moment = 3.76 μB/atom

abc: 3.5475 3.5475 11.1761
angles: 80.87 80.87 60.00
Last column: magnetic moment on the atom in μB.
Fractional coordinates of all 4 atoms:
Ca 0.0000 0.0000 0.0000  0.04
Gd 0.1065 0.1065 0.6804  7.18
Gd 0.8935 0.8935 0.3196  7.18
Tc 0.5000 0.5000 0.5000  -0.14

***

10.
VASP calculation (PBE) on crystalline BaLu2Tl at its relaxed geometry.

Results
ΔE_f = 0.17 eV per atom
VASP energy = -3.158 eV per atom
Space group = R-3m, No. 166
Magnetic moment = 0.05 μB/atom

abc: 3.6164 3.6164 12.1792
angles: 81.46 81.46 60.00
Last column: magnetic moment on the atom in μB.
Fractional coordinates of all 4 atoms:
Tl 0.5000 0.5000 0.5000  0.00
Lu 0.0998 0.0998 0.7005  -0.01
Lu 0.9002 0.9002 0.2995  -0.01
Ba 0.0000 0.0000 0.0000  -0.07

***

11.
VASP calculation (PBE) on crystalline RbFe2AuBr8 at its relaxed geometry.

Results
VASP energy = -3.478 eV per atom
Formation energy from raw total energies = -58 kJ/mol of atoms
Space group = C2/m, No. 12
Magnetic moment = 0.82 μB/atom

abc: 7.3666 8.0270 9.7450
angles: 60.42 67.79 62.69
Last column: magnetic moment on the atom in μB.
Fractional coordinates of all 12 atoms:
Rb 0.5000 0.5000 0.5000  0.01
Fe 0.3098 0.2132 0.1672  3.62
Fe 0.6902 0.7868 0.8328  3.62
Au 0.0000 0.0000 0.0000  0.11
Br 0.8622 0.6222 0.6533  0.21
Br 0.6759 0.5504 0.0978  0.21
Br 0.1378 0.3778 0.3467  0.21
Br 0.3241 0.4496 0.9022  0.21
Br 0.6487 0.9846 0.2267  0.16
Br 0.3513 0.0154 0.7733  0.16
Br 0.1400 0.9846 0.2267  0.16
Br 0.8600 0.0154 0.7733  0.16

***

12.
VASP calculation (PBE) on crystalline AcPmGdDy at its relaxed geometry.

Results
ΔE_f = 0.12 eV per atom
VASP energy = -6.770 eV per atom
Space group = F-43m, No. 216
Magnetic moment = 1.99 μB/atom

abc: 5.8726 5.8726 5.8726
angles: 60.00 60.00 60.00
Last column: magnetic moment on the atom in μB.
Fractional coordinates of all 4 atoms:
Ac 0.2500 0.2500 0.2500  0.05
Gd 0.0000 0.0000 0.0000  7.27
Pm 0.7500 0.7500 0.7500  0.10
Dy 0.5000 0.5000 0.5000  0.05

***

13.
VASP calculation (PBE) on crystalline Tc2PbN at its relaxed geometry.

Results
ΔE to the lowest computed polymorph = 0.0 kJ/mol of atoms
VASP energy = -7.779 eV per atom
Formation energy from raw total energies = 40 kJ/mol of atoms
Space group = I-42d, No. 122
Magnetic moment = 0.30 μB/atom

abc: 6.5975 6.5975 5.5191
angles: 53.30 53.30 90.00
Last column: magnetic moment on the atom in μB.
Fractional coordinates of all 8 atoms:
Pb 0.0000 0.0000 0.0000  -0.03
Pb 0.7500 0.2500 0.5000  -0.03
Tc 0.4989 0.1250 0.2500  0.60
Tc 0.2511 0.6250 0.2500  0.59
Tc 0.3750 0.5011 0.7500  0.59
Tc 0.8750 0.7489 0.7500  0.59
N 0.5000 0.5000 0.0000  -0.04
N 0.2500 0.7500 0.5000  -0.04

***

14.
VASP calculation (PBE) on crystalline Mg2MnAlSi at its relaxed geometry.

Results
VASP energy = -3.478 eV per atom
Formation energy from raw total energies = 80 kJ/mol of atoms
Space group = P4/mmm, No. 123
Magnetic moment = 0.63 μB/atom

abc: 5.0103 4.6904 5.0103
angles: 90.00 90.00 90.00
Last column: magnetic moment on the atom in μB.
Fractional coordinates of all 5 atoms:
Mg 0.0000 0.0000 0.5000  -0.01
Mg 0.5000 0.0000 0.0000  -0.01
Si 0.5000 0.5000 0.5000  -0.13
Mn 0.0000 0.5000 0.0000  3.57
Al 0.0000 0.0000 0.0000  -0.07

***

15.
VASP calculation (PBE) on crystalline TcMo2P at its relaxed geometry.

Results
ΔE_f = 0.40 eV per atom
VASP energy = -8.956 eV per atom
Space group = I-42d, No. 122
Magnetic moment = 0.00 μB/atom

abc: 3.7355 3.7355 9.4073
angles: 78.55 78.55 90.00
Fractional coordinates of all 8 atoms:
P 0.5000 0.5000 0.0000
P 0.2500 0.7500 0.5000
Mo 0.5990 0.1250 0.2500
Mo 0.1510 0.6250 0.2500
Mo 0.3750 0.4010 0.7500
Mo 0.8750 0.8490 0.7500
Tc 0.0000 0.0000 0.0000
Tc 0.7500 0.2500 0.5000

***

16.
VASP calculation (PBE) on crystalline Cr2InAg at its relaxed geometry.

Results
ΔE_f = 0.65 eV per atom
VASP energy = -5.563 eV per atom
Space group = Pmmm, No. 47
Magnetic moment = 0.00 μB/atom

abc: 2.9677 4.3488 5.3103
angles: 90.00 90.00 90.00
Fractional coordinates of all 4 atoms:
Ag 0.5000 0.5000 0.7500
Cr 0.0000 0.0000 0.0685
Cr 0.0000 0.0000 0.4315
In 0.5000 0.5000 0.2500

***

17.
VASP calculation (PBE) on crystalline Tb3Dy5Y2 at its relaxed geometry.

Results
ΔE to the lowest computed polymorph = 20.4 kJ/mol of atoms
ΔE_f = 0.42 eV per atom
VASP energy = -4.568 eV per atom
Space group = Ibam, No. 72
Magnetic moment = 0.00 μB/atom

abc: 6.7658 12.3441 12.3441
angles: 44.53 74.09 74.09
Fractional coordinates of all 20 atoms:
Tb 0.2500 0.0000 0.0000
Tb 0.7500 0.0000 0.0000
Tb 0.3741 0.3763 0.8755
Tb 0.6259 0.6237 0.1245
Tb 0.8741 0.8755 0.3763
Tb 0.1259 0.1245 0.6237
Dy 0.2500 0.5000 0.5000
Dy 0.7500 0.5000 0.5000
Dy 0.5017 0.7483 0.7483
Dy 0.9983 0.2517 0.2517
Dy 0.4983 0.2517 0.2517
Dy 0.0017 0.7483 0.7483
Dy 0.1238 0.4678 0.2846
Dy 0.8762 0.5322 0.7154
Dy 0.6238 0.2846 0.4678
Dy 0.3762 0.7154 0.5322
Y 0.1264 0.7801 0.9670
Y 0.8736 0.2199 0.0330
Y 0.6264 0.9670 0.7801
Y 0.3736 0.0330 0.2199

***

18.
VASP calculation (PBE) on crystalline Cd2Ag7HgSb2 at its relaxed geometry.

Results
VASP energy = -2.471 eV per atom
Formation energy from raw total energies = 6 kJ/mol of atoms
Space group = C2/m, No. 12
Magnetic moment = 0.00 μB/atom

abc: 4.3377 4.3377 14.6271
angles: 73.18 73.18 90.78
Fractional coordinates of all 12 atoms:
Cd 0.8147 0.8147 0.6862
Cd 0.1853 0.1853 0.3138
Ag 0.5000 0.5000 0.0000
Ag 0.2432 0.2432 0.5002
Ag 0.7568 0.7568 0.4998
Ag 0.8455 0.3449 0.1549
Ag 0.3449 0.8455 0.1549
Ag 0.6551 0.1545 0.8451
Ag 0.1545 0.6551 0.8451
Hg 0.0000 0.0000 0.0000
Sb 0.6824 0.6824 0.3162
Sb 0.3176 0.3176 0.6838

***

19.
VASP calculation (PBE) on crystalline CoSiRu at its relaxed geometry.

Results
VASP energy = -7.234 eV per atom
Formation energy from raw total energies = 3 kJ/mol of atoms
Space group = Fmm2, No. 42
Magnetic moment = 0.21 μB/atom

abc: 6.1748 5.9337 2.6815
angles: 82.29 72.22 25.49
Last column: magnetic moment on the atom in μB.
Fractional coordinates of all 3 atoms:
Co 0.0142 0.0142 0.9858  0.56
Ru 0.3244 0.3244 0.6756  0.11
Si 0.6614 0.6614 0.3386  -0.02

***

20.
VASP calculation (PBE) on crystalline LiVRh at its relaxed geometry.

Results
ΔE to the lowest computed polymorph = 19.7 kJ/mol of atoms
ΔE_f = -0.09 eV per atom
VASP energy = -6.222 eV per atom
Space group = C2/m, No. 12
Magnetic moment = 0.03 μB/atom

abc: 5.5481 3.9420 9.0278
angles: 90.00 127.09 90.00
Last column: magnetic moment on the atom in μB.
Fractional coordinates of all 12 atoms:
Li 0.8558 0.0000 0.1777  0.00
Li 0.1442 0.0000 0.8223  0.00
Li 0.8558 0.5000 0.6777  0.00
Li 0.1442 0.5000 0.3223  0.00
V 0.6523 0.0000 0.8308  0.07
V 0.3477 0.0000 0.1692  0.07
V 0.6523 0.5000 0.3308  0.07
V 0.3477 0.5000 0.6692  0.07
Rh 0.0000 0.5000 0.0000  0.00
Rh 0.0000 0.0000 0.5000  0.00
Rh 0.5000 0.0000 0.5000  0.00
Rh 0.5000 0.5000 0.0000  0.00